Entry 1:
Compound: TlCrTcS3
Source: Alexandria
Functional: PBE-GGA
Structure: relaxed

Results
- DOS at the Fermi energy: 5.100 states/eV per cell
- E_form (uncorrected): -3.07 eV/f.u.
- Crystal system: monoclinic

Cell: 8.934 3.201 9.255 Å, 90.00 112.11 90.00°
Sites, in units of the cell vectors:
1 Tl 0.001 0.250 0.281
2 Tl 0.999 0.750 0.719
3 Cr 0.447 0.750 0.589
4 Cr 0.553 0.250 0.411
5 Tc 0.490 0.250 0.864
6 Tc 0.510 0.750 0.136
7 S 0.274 0.250 0.618
8 S 0.318 0.250 0.997
9 S 0.351 0.750 0.328
10 S 0.649 0.250 0.672
11 S 0.682 0.750 0.003
12 S 0.726 0.750 0.382

***

Entry 2:
Compound: NaLiIn
Source: Alexandria
Functional: PBE-GGA
Structure: relaxed

Results
- DOS at the Fermi energy: 3.365 states/eV per cell
- ΔE to the lowest computed polymorph: 35.4 meV per atom
- Crystal system: tetragonal

Cell: 3.412 3.412 12.330 Å, 90.00 90.00 90.00°
Sites, in units of the cell vectors:
1 Na 0.000 0.000 0.000
2 Na 0.500 0.500 0.500
3 Li 0.000 0.000 0.686
4 Li 0.500 0.500 0.186
5 In 0.000 0.000 0.315
6 In 0.500 0.500 0.815

***

Entry 3:
Compound: MgBeRh2
Source: Alexandria
Functional: PBE-GGA
Structure: relaxed

Results
- DOS at the Fermi energy: 1.528 states/eV per cell
- ΔE to the lowest computed polymorph: 95.1 meV per atom
- Crystal system: monoclinic

Cell: 2.849 3.551 5.446 Å, 90.00 103.08 90.00°
Sites, in units of the cell vectors:
1 Mg 0.000 0.000 0.000
2 Be 0.000 0.000 0.500
3 Rh 0.372 0.500 0.719
4 Rh 0.628 0.500 0.281

***

Entry 4:
Compound: TbNdMgSi
Source: Alexandria
Functional: PBE-GGA
Structure: relaxed

Results
- DOS at the Fermi energy: 13.139 states/eV per cell
- E_form (uncorrected): -1.13 eV/f.u.
- Crystal system: cubic

Cell: 7.323 7.323 7.323 Å, 90.00 90.00 90.00°
Sites, in units of the cell vectors:
1 Tb 0.000 0.000 0.000
2 Tb 0.000 0.500 0.500
3 Tb 0.500 0.000 0.500
4 Tb 0.500 0.500 0.000
5 Nd 0.000 0.000 0.500
6 Nd 0.000 0.500 0.000
7 Nd 0.500 0.000 0.000
8 Nd 0.500 0.500 0.500
9 Mg 0.250 0.250 0.250
10 Mg 0.250 0.750 0.750
11 Mg 0.750 0.250 0.750
12 Mg 0.750 0.750 0.250
13 Si 0.250 0.250 0.750
14 Si 0.250 0.750 0.250
15 Si 0.750 0.250 0.250
16 Si 0.750 0.750 0.750

***

Entry 5:
Compound: Li2InHgPb
Source: Alexandria
Functional: PBE-GGA
Structure: relaxed

Results
- Electronic total energy: -2.335 eV per atom
- DOS at the Fermi energy: 3.448 states/eV per cell
- Crystal system: monoclinic

Cell: 6.105 4.782 8.031 Å, 90.00 107.80 90.00°
Sites, in units of the cell vectors:
1 Li 0.125 0.250 0.084
2 Li 0.245 0.750 0.688
3 Li 0.755 0.250 0.312
4 Li 0.875 0.750 0.916
5 In 0.323 0.250 0.463
6 In 0.677 0.750 0.537
7 Hg 0.006 0.750 0.287
8 Hg 0.994 0.250 0.713
9 Pb 0.432 0.750 0.115
10 Pb 0.568 0.250 0.885

***

Entry 6:
Compound: BaIn
Source: Alexandria
Functional: PBE-GGA
Structure: relaxed

Results
- Electronic total energy: -2.727 eV per atom
- DOS at the Fermi energy: 6.762 states/eV per cell
- Crystal system: orthorhombic

Cell: 4.510 13.800 5.261 Å, 90.00 90.00 90.00°
Sites, in units of the cell vectors:
1 Ba 0.000 0.146 0.250
2 Ba 0.000 0.854 0.750
3 Ba 0.500 0.354 0.750
4 Ba 0.500 0.646 0.250
5 In 0.000 0.433 0.250
6 In 0.000 0.567 0.750
7 In 0.500 0.067 0.750
8 In 0.500 0.933 0.250

***

Entry 7:
Compound: ScAg7F12
Source: Alexandria
Functional: PBE-GGA
Structure: relaxed

Results
- DOS at the Fermi energy: 11.735 states/eV per cell
- E_form (uncorrected): -31.49 eV/f.u.
- Crystal system: trigonal

Cell: 7.757 7.757 7.757 Å, 111.95 111.95 111.95°
Sites, in units of the cell vectors:
1 Sc 0.000 0.000 0.000
2 Ag 0.111 0.244 0.675
3 Ag 0.244 0.675 0.111
4 Ag 0.325 0.889 0.756
5 Ag 0.500 0.500 0.500
6 Ag 0.675 0.111 0.244
7 Ag 0.756 0.325 0.889
8 Ag 0.889 0.756 0.325
9 F 0.059 0.183 0.311
10 F 0.164 0.709 0.356
11 F 0.183 0.311 0.059
12 F 0.291 0.644 0.836
13 F 0.311 0.059 0.183
14 F 0.356 0.164 0.709
15 F 0.644 0.836 0.291
16 F 0.689 0.941 0.817
17 F 0.709 0.356 0.164
18 F 0.817 0.689 0.941
19 F 0.836 0.291 0.644
20 F 0.941 0.817 0.689

***

Entry 8:
Compound: Pm2Sm4Tm
Source: Alexandria
Functional: PBE-GGA
Structure: relaxed

Results
- DOS at the Fermi energy: 22.365 states/eV per cell
- ΔE to the lowest computed polymorph: 0.0 meV per atom
- Crystal system: monoclinic

Cell: 6.193 6.668 11.674 Å, 90.00 103.80 90.00°
Sites, in units of the cell vectors:
1 Pm 0.105 0.250 0.493
2 Pm 0.213 0.250 0.076
3 Pm 0.787 0.750 0.924
4 Pm 0.895 0.750 0.507
5 Sm 0.149 0.010 0.786
6 Sm 0.149 0.490 0.786
7 Sm 0.349 0.750 0.051
8 Sm 0.466 0.750 0.638
9 Sm 0.534 0.250 0.362
10 Sm 0.651 0.250 0.949
11 Sm 0.851 0.510 0.214
12 Sm 0.851 0.990 0.214
13 Tm 0.356 0.750 0.338
14 Tm 0.644 0.250 0.662

***

Entry 9:
Compound: Cs2GaCCl6
Source: Alexandria
Functional: PBE-GGA
Structure: relaxed

Results
- DOS at the Fermi energy: 0.000 states/eV per cell
- E_form (uncorrected): -6.92 eV/f.u.
- Crystal system: tetragonal

Cell: 7.501 7.501 7.501 Å, 124.73 124.73 81.99°
Sites, in units of the cell vectors:
1 Cs 0.250 0.750 0.500
2 Cs 0.750 0.250 0.500
3 Ga 0.000 0.000 0.000
4 C 0.500 0.500 0.000
5 Cl 0.202 0.202 0.000
6 Cl 0.257 0.257 0.513
7 Cl 0.257 0.743 0.000
8 Cl 0.743 0.257 0.000
9 Cl 0.743 0.743 0.487
10 Cl 0.798 0.798 0.000

***

Entry 10:
Compound: CrRe2P2
Source: Alexandria
Functional: PBE-GGA
Structure: relaxed

Results
- DOS at the Fermi energy: 9.669 states/eV per cell
- ΔE to the lowest computed polymorph: 0.0 meV per atom
- Crystal system: tetragonal

Cell: 4.149 4.149 8.765 Å, 90.00 90.00 90.00°
Sites, in units of the cell vectors:
1 Cr 0.000 0.000 0.000
2 Cr 0.500 0.500 0.500
3 Re 0.000 0.500 0.250
4 Re 0.000 0.500 0.750
5 Re 0.500 0.000 0.250
6 Re 0.500 0.000 0.750
7 P 0.000 0.000 0.377
8 P 0.000 0.000 0.623
9 P 0.500 0.500 0.123
10 P 0.500 0.500 0.877

***

Entry 11:
Compound: Pu2CrCu
Source: Alexandria
Functional: PBE-GGA
Structure: relaxed

Results
- Electronic total energy: -10.385 eV per atom
- DOS at the Fermi energy: 8.345 states/eV per cell
- Crystal system: tetragonal

Cell: 3.083 3.083 8.049 Å, 90.00 90.00 90.00°
Sites, in units of the cell vectors:
1 Pu 0.000 0.000 0.237
2 Pu 0.000 0.000 0.763
3 Cr 0.500 0.500 0.000
4 Cu 0.500 0.500 0.500

***

Entry 12:
Compound: Sr2NdSe4
Source: Alexandria
Functional: PBE-GGA
Structure: relaxed

Results
- DOS at the Fermi energy: 6.136 states/eV per cell
- E_form (uncorrected): -11.80 eV/f.u.
- Crystal system: orthorhombic

Cell: 7.781 7.781 13.632 Å, 90.00 90.00 148.13°
Sites, in units of the cell vectors:
1 Sr 0.129 0.871 0.569
2 Sr 0.129 0.871 0.931
3 Sr 0.871 0.129 0.069
4 Sr 0.871 0.129 0.431
5 Nd 0.389 0.611 0.750
6 Nd 0.611 0.389 0.250
7 Se 0.019 0.981 0.750
8 Se 0.224 0.776 0.137
9 Se 0.224 0.776 0.363
10 Se 0.500 0.500 0.000
11 Se 0.500 0.500 0.500
12 Se 0.776 0.224 0.637
13 Se 0.776 0.224 0.863
14 Se 0.981 0.019 0.250

***

Entry 13:
Compound: Tb2PrEu
Source: Alexandria
Functional: PBE-GGA
Structure: relaxed

Results
- DOS at the Fermi energy: 5.945 states/eV per cell
- ΔE to the lowest computed polymorph: 0.0 meV per atom
- Crystal system: tetragonal

Cell: 3.681 3.681 10.349 Å, 90.00 90.00 90.00°
Sites, in units of the cell vectors:
1 Tb 0.000 0.000 0.239
2 Tb 0.000 0.000 0.761
3 Pr 0.500 0.500 0.000
4 Eu 0.500 0.500 0.500

***

Entry 14:
Compound: FeCu2Ir
Source: Alexandria
Functional: PBE-GGA
Structure: relaxed

Results
- DOS at the Fermi energy: 2.988 states/eV per cell
- ΔE to the lowest computed polymorph: 10.2 meV per atom
- Crystal system: tetragonal

Cell: 3.640 3.640 3.864 Å, 90.00 90.00 90.00°
Sites, in units of the cell vectors:
1 Fe 0.000 0.000 0.000
2 Cu 0.000 0.500 0.500
3 Cu 0.500 0.000 0.500
4 Ir 0.500 0.500 0.000

***

Entry 15:
Compound: Th2ZrMo
Source: Alexandria
Functional: PBE-GGA
Structure: relaxed

Results
- Electronic total energy: -7.970 eV per atom
- DOS at the Fermi energy: 20.045 states/eV per cell
- Crystal system: trigonal

Cell: 3.382 3.382 31.929 Å, 90.00 90.00 120.00°
Sites, in units of the cell vectors:
1 Th 0.000 0.000 0.096
2 Th 0.000 0.000 0.904
3 Th 0.333 0.667 0.571
4 Th 0.333 0.667 0.763
5 Th 0.667 0.333 0.237
6 Th 0.667 0.333 0.429
7 Zr 0.000 0.000 0.000
8 Zr 0.333 0.667 0.667
9 Zr 0.667 0.333 0.333
10 Mo 0.000 0.000 0.500
11 Mo 0.333 0.667 0.167
12 Mo 0.667 0.333 0.833

***

Entry 16:
Compound: NaNb3Tc
Source: Alexandria
Functional: PBE-GGA
Structure: relaxed

Results
- DOS at the Fermi energy: 2.966 states/eV per cell
- ΔE to the lowest computed polymorph: 0.0 meV per atom
- Crystal system: cubic

Cell: 4.891 4.891 4.891 Å, 90.00 90.00 90.00°
Sites, in units of the cell vectors:
1 Na 0.000 0.000 0.000
2 Nb 0.000 0.500 0.500
3 Nb 0.500 0.000 0.500
4 Nb 0.500 0.500 0.000
5 Tc 0.500 0.500 0.500

***

Entry 17:
Compound: BaSbAs2Br
Source: Alexandria
Functional: PBE-GGA
Structure: relaxed

Results
- DOS at the Fermi energy: 2.625 states/eV per cell
- ΔE to the lowest computed polymorph: 0.0 meV per atom
- E_form (uncorrected): -1.88 eV/f.u.
- Crystal system: tetragonal

Cell: 5.323 5.323 5.812 Å, 90.00 90.00 90.00°
Sites, in units of the cell vectors:
1 Ba 0.000 0.000 0.000
2 Sb 0.500 0.500 0.500
3 As 0.000 0.500 0.500
4 As 0.500 0.000 0.500
5 Br 0.500 0.500 0.000